A plane-wave DFT calculation with meta-GGA SCAN was carried out for a crystal of Mn2FeAg relaxed with PBEsol.

Output
**Calculated volume**: 51.28 Å³ per cell
**ρ**: 8.9 g/cm³
**Total energy**: -21.422 eV/atom
**Energy of formation**: 80 meV/atom

Cell lengths 3.6859, 3.6859, 4.5870 Å; angles 113.69, 113.69, 90.00 degrees
Closest atoms and distances in Å follow each position.
Positions (direct):
Mn  0.0000  0.0000  0.0000  4 Ag 2.61, 4 Fe 2.64, 4 Mn 2.64
Fe  0.2500  0.7500  0.5000  8 Mn 2.61-2.64, 4 Ag 2.64
Mn  0.7500  0.2500  0.5000  4 Fe 2.61, 4 Ag 2.64, 4 Mn 2.64
Ag  0.5000  0.5000  0.0000  8 Mn 2.61-2.64, 4 Fe 2.64

A plane-wave DFT calculation with meta-GGA SCAN was carried out for a crystal of Mn2Fe2Ag relaxed with PBEsol.

Output
**Calculated volume**: 61.19 Å³ per cell
**ρ**: 8.9 g/cm³
**Total energy**: -20.085 eV/atom
**Energy of formation**: 743 meV/atom

Cell lengths 3.6536, 3.6536, 5.2619 Å; angles 110.31, 110.31, 90.00 degrees
Closest atoms and distances in Å follow each position.
Positions (direct):
Ag  0.0000  0.0000  0.0000  8 Mn 2.78, 8 Fe 2.93
Mn  0.3874  0.3874  0.7749  1 Mn 2.06, 4 Fe 2.22
Mn  0.6126  0.6126  0.2251  1 Mn 2.06, 4 Fe 2.22
Fe  0.2500  0.7500  0.5000  4 Mn 2.22
Fe  0.7500  0.2500  0.5000  4 Mn 2.22

A plane-wave DFT calculation with meta-GGA SCAN was carried out for a crystal of RbMnFeAg2 relaxed with PBEsol.

Output
**Calculated volume**: 115.06 Å³ per cell
**ρ**: 5.9 g/cm³
**Total energy**: -23.297 eV/atom
**Energy of formation**: 674 meV/atom

Cell lengths 4.5819, 5.0112, 5.0112 Å; angles 90.00, 90.00, 90.00 degrees
Closest atoms and distances in Å follow each position.
Positions (direct):
Rb  0.5000  0.5000  0.5000  8 Ag 3.40, 4 Mn 3.54
Mn  0.5000  0.0000  0.0000  2 Fe 2.29
Ag  0.0000  0.5000  0.0000  2 Fe 2.51
Ag  0.0000  0.0000  0.5000  2 Fe 2.51
Fe  0.0000  0.0000  0.0000  2 Mn 2.29, 4 Ag 2.51

A plane-wave DFT calculation with meta-GGA SCAN was carried out for a crystal of YMn2FeAg relaxed with PBEsol.

Output
**Calculated volume**: 120.54 Å³ per cell
**ρ**: 5.0 g/cm³
**Total energy**: -21.899 eV/atom
**Energy of formation**: 871 meV/atom

Cell lengths 4.7829, 4.7829, 5.2694 Å; angles 90.00, 90.00, 90.00 degrees
Closest atoms and distances in Å follow each position.
Positions (direct):
Mn  0.0000  0.5000  0.0000  2 Ag 2.39
Ag  0.0000  0.0000  0.0000  4 Mn 2.39, 2 Y 2.63
Fe  0.5000  0.5000  0.5000  4 Y 3.38, 8 Mn 3.56
Y  0.0000  0.0000  0.5000  2 Ag 2.63
Mn  0.5000  0.0000  0.0000  2 Ag 2.39

A plane-wave DFT calculation with meta-GGA SCAN was carried out for a crystal of FeAgMo2 relaxed with PBEsol.

Output
**Calculated volume**: 58.16 Å³ per cell
**ρ**: 10.2 g/cm³
**Total energy**: -29.236 eV/atom
**Energy relative to the lowest polymorph listed for this composition**: 139.3 meV/atom
**Energy of formation**: 580 meV/atom

Cell lengths 2.8550, 4.5388, 5.2283 Å; angles 115.73, 105.84, 90.00 degrees
Closest atoms and distances in Å follow each position.
Positions (direct):
Mo  0.2644  0.7644  0.5288  4 Fe 2.70, 4 Mo 2.73-2.86, 4 Ag 2.93-2.98
Mo  0.0235  0.0235  0.0470  2 Fe 2.36
Fe  0.7332  0.2332  0.4663  2 Mo 2.36, 2 Ag 2.63
Ag  0.4789  0.4789  0.9578  2 Fe 2.63, 6 Mo 2.71-2.93, 2 Ag 2.86

A plane-wave DFT calculation with meta-GGA SCAN was carried out for a crystal of FeAgMo2 relaxed with PBEsol.

Output
**Calculated volume**: 57.20 Å³ per cell
**ρ**: 10.3 g/cm³
**Total energy**: -29.376 eV/atom
**Energy relative to the lowest polymorph listed for this composition**: 0.0 meV/atom
**Energy of formation**: 441 meV/atom

Cell lengths 3.7485, 3.7485, 4.0706 Å; angles 90.00, 90.00, 90.00 degrees
Closest atoms and distances in Å follow each position.
Positions (direct):
Mo  0.5000  0.0000  0.0000  4 Mo 2.65, 4 Fe 2.77, 4 Ag 2.77
Ag  0.5000  0.5000  0.5000  4 Fe 2.65, 8 Mo 2.77
Mo  0.0000  0.5000  0.0000  4 Mo 2.65, 4 Fe 2.77, 4 Ag 2.77
Fe  0.0000  0.0000  0.5000  4 Ag 2.65, 8 Mo 2.77

A plane-wave DFT calculation with meta-GGA SCAN was carried out for a crystal of FeAgMo2 relaxed with PBEsol.

Output
**Calculated volume**: 57.27 Å³ per cell
**ρ**: 10.3 g/cm³
**Total energy**: -29.332 eV/atom
**Energy relative to the lowest polymorph listed for this composition**: 43.7 meV/atom
**Energy of formation**: 485 meV/atom

Cell lengths 2.6956, 2.6956, 9.2334 Å; angles 81.61, 81.61, 60.00 degrees
Closest atoms and distances in Å follow each position.
Positions (direct):
Ag  0.5000  0.5000  0.5000  6 Ag 2.70, 6 Mo 2.95
Mo  0.2583  0.2583  0.2251  3 Fe 2.57, 6 Mo 2.70
Fe  0.0000  0.0000  0.0000  6 Mo 2.57, 6 Fe 2.70
Mo  0.7417  0.7417  0.7749  3 Fe 2.57, 6 Mo 2.70

A plane-wave DFT calculation with meta-GGA SCAN was carried out for a crystal of FeAgMo2 relaxed with PBEsol.

Output
**Calculated volume**: 57.11 Å³ per cell
**ρ**: 10.3 g/cm³
**Total energy**: -29.349 eV/atom
**Energy relative to the lowest polymorph listed for this composition**: 26.2 meV/atom
**Energy of formation**: 467 meV/atom

Cell lengths 3.7561, 3.7561, 4.8413 Å; angles 112.83, 112.83, 90.00 degrees
Closest atoms and distances in Å follow each position.
Positions (direct):
Mo  0.2500  0.7500  0.5000  4 Mo 2.66, 4 Fe 2.76, 4 Ag 2.76
Mo  0.7500  0.2500  0.5000  4 Mo 2.66, 4 Ag 2.76, 4 Fe 2.76
Ag  0.5000  0.5000  0.0000  4 Fe 2.66, 8 Mo 2.76
Fe  0.0000  0.0000  0.0000  4 Ag 2.66, 8 Mo 2.76

A plane-wave DFT calculation with meta-GGA SCAN was carried out for a crystal of FeAgMo2 relaxed with PBEsol.

Output
**Calculated volume**: 57.24 Å³ per cell
**ρ**: 10.3 g/cm³
**Total energy**: -29.350 eV/atom
**Energy relative to the lowest polymorph listed for this composition**: 26.0 meV/atom
**Energy of formation**: 467 meV/atom

Cell lengths 2.6151, 4.9061, 4.9061 Å; angles 114.59, 90.00, 90.00 degrees
Closest atoms and distances in Å follow each position.
Positions (direct):
Ag  0.5000  0.0000  0.0000  2 Ag 2.62, 2 Fe 2.65, 8 Mo 2.78
Mo  0.0000  0.0000  0.5000  4 Mo 2.62-2.65, 4 Fe 2.78, 4 Ag 2.78
Mo  0.0000  0.5000  0.0000  4 Mo 2.62-2.65, 4 Ag 2.78, 4 Fe 2.78
Fe  0.5000  0.5000  0.5000  2 Fe 2.62, 2 Ag 2.65, 8 Mo 2.78

A plane-wave DFT calculation with meta-GGA SCAN was carried out for a crystal of FeAgTe2Mo relaxed with PBEsol.

Output
**Calculated volume**: 126.72 Å³ per cell
**ρ**: 6.7 g/cm³
**Total energy**: -30.505 eV/atom
**Formation energy (no corrections)**: 1.2715 eV per atom

Cell lengths 4.6438, 5.2239, 5.2239 Å; angles 90.00, 90.00, 90.00 degrees
Closest atoms and distances in Å follow each position.
Positions (direct):
Te  0.0000  0.0000  0.5000  2 Ag 2.61
Te  0.0000  0.5000  0.0000  2 Ag 2.61
Fe  0.5000  0.0000  0.0000  2 Ag 2.32
Mo  0.5000  0.5000  0.5000  8 Te 3.49, 4 Fe 3.69
Ag  0.0000  0.0000  0.0000  2 Fe 2.32

A plane-wave DFT calculation with meta-GGA SCAN was carried out for a crystal of FeNi2Ag relaxed with PBEsol.

Output
**Calculated volume**: 48.86 Å³ per cell
**ρ**: 9.6 g/cm³
**Total energy**: -20.287 eV/atom
**Energy relative to the lowest polymorph listed for this composition**: 0.0 meV/atom
**Energy of formation**: 174 meV/atom

Cell lengths 3.4930, 3.7402, 3.7402 Å; angles 90.00, 90.00, 90.00 degrees
Closest atoms and distances in Å follow each position.
Positions (direct):
Ni  0.0000  0.0000  0.5000  4 Ag 2.56, 4 Fe 2.56, 4 Ni 2.64
Ni  0.0000  0.5000  0.0000  4 Ag 2.56, 4 Fe 2.56, 4 Ni 2.64
Fe  0.5000  0.0000  0.0000  8 Ni 2.56, 4 Ag 2.64
Ag  0.5000  0.5000  0.5000  8 Ni 2.56, 4 Fe 2.64

A plane-wave DFT calculation with meta-GGA SCAN was carried out for a crystal of FeNi2Ag relaxed with PBEsol.

Output
**Calculated volume**: 49.15 Å³ per cell
**ρ**: 9.5 g/cm³
**Total energy**: -20.172 eV/atom
**Energy relative to the lowest polymorph listed for this composition**: 115.1 meV/atom
**Energy of formation**: 289 meV/atom

Cell lengths 4.1117, 4.1117, 4.1117 Å; angles 60.00, 60.00, 60.00 degrees
Closest atoms and distances in Å follow each position.
Positions (direct):
Ag  0.5000  0.5000  0.5000  4 Fe 2.52, 4 Ni 2.52
Fe  0.2500  0.2500  0.2500  4 Ni 2.52, 4 Ag 2.52
Ni  0.0000  0.0000  0.0000  4 Fe 2.52, 4 Ni 2.52
Ni  0.7500  0.7500  0.7500  4 Ni 2.52, 4 Ag 2.52

Which of these has the highest total energy?
Mn2Fe2Ag